[1]
The following is a GGA-PBE calculation of Fe2ReHPd after structural relaxation, from Alexandria.

Calculated values
The value obtained for the electronic total energy is -7.37 eV/atom.

Unit cell a=3.823 b=3.823 c=3.779 alpha=90.00 beta=90.00 gamma=90.00
Sites, in units of the cell vectors:
Fe 0.000 0.500 0.000
Fe 0.500 0.000 0.000
Re 0.000 0.000 0.500
H 0.000 0.000 0.000
Pd 0.500 0.500 0.500

***

[2]
The following is a GGA-PBE calculation of Fe2HPdRh after structural relaxation, from Alexandria.

Calculated values
The calculation puts the energy above the lowest structure with this stoichiometry at 0.0 meV/atom. The value obtained for the electronic total energy is -6.60 eV/atom.

Unit cell a=3.904 b=3.904 c=3.720 alpha=90.00 beta=90.00 gamma=90.00
Sites, in units of the cell vectors:
Fe 0.000 0.500 0.000
Fe 0.500 0.000 0.000
H 0.000 0.000 0.000
Pd 0.500 0.500 0.500
Rh 0.000 0.000 0.500

***

[3]
The following is a GGA-PBE calculation of Fe2HPdRh after structural relaxation, from Alexandria.

Calculated values
The calculation puts the energy above the lowest structure with this stoichiometry at 60.4 meV/atom. The value obtained for the electronic total energy is -6.54 eV/atom.

Unit cell a=3.884 b=3.884 c=3.748 alpha=90.00 beta=90.00 gamma=90.00
Sites, in units of the cell vectors:
Fe 0.000 0.500 0.000
Fe 0.500 0.000 0.000
H 0.000 0.000 0.000
Pd 0.000 0.000 0.500
Rh 0.500 0.500 0.500

***

[4]
The following is a GGA-PBE calculation of Fe2HPdRu after structural relaxation, from Alexandria.

Calculated values
The value obtained for the electronic total energy is -6.85 eV/atom.

Unit cell a=3.877 b=3.877 c=3.713 alpha=90.00 beta=90.00 gamma=90.00
Sites, in units of the cell vectors:
Fe 0.000 0.500 0.000
Fe 0.500 0.000 0.000
H 0.000 0.000 0.000
Pd 0.500 0.500 0.500
Ru 0.000 0.000 0.500

***

[5]
The following is a GGA-PBE calculation of Fe2SbHPd after structural relaxation, from Alexandria.

Calculated values
The value obtained for the electronic total energy is -5.88 eV/atom.

Unit cell a=3.881 b=3.881 c=4.168 alpha=90.00 beta=90.00 gamma=90.00
Sites, in units of the cell vectors:
Fe 0.000 0.500 0.000
Fe 0.500 0.000 0.000
Sb 0.000 0.000 0.500
H 0.500 0.500 0.000
Pd 0.500 0.500 0.500

***

[6]
The following is a GGA-PBE calculation of ScFeHPd2 after structural relaxation, from Alexandria.

Calculated values
The value obtained for the electronic total energy is -6.07 eV/atom.

Unit cell a=4.000 b=4.000 c=3.968 alpha=90.00 beta=90.00 gamma=90.00
Sites, in units of the cell vectors:
Sc 0.000 0.000 0.000
Fe 0.500 0.500 0.000
H 0.500 0.500 0.500
Pd 0.000 0.500 0.500
Pd 0.500 0.000 0.500

***

[7]
The following is a GGA-PBE calculation of FeSnHPd2 after structural relaxation, from Alexandria.

Calculated values
The value obtained for the electronic total energy is -5.39 eV/atom.

Unit cell a=4.021 b=4.021 c=4.055 alpha=90.00 beta=90.00 gamma=90.00
Sites, in units of the cell vectors:
Fe 0.000 0.000 0.000
Sn 0.500 0.500 0.000
H 0.000 0.000 0.500
Pd 0.000 0.500 0.500
Pd 0.500 0.000 0.500

***

[8]
The following is a GGA-PBE calculation of TaFe2HPd after structural relaxation, from Alexandria.

Calculated values
The calculation puts the energy above the lowest structure with this stoichiometry at 5.9 meV/atom. The value obtained for the electronic total energy is -7.54 eV/atom.

Unit cell a=3.786 b=3.786 c=3.941 alpha=90.00 beta=90.00 gamma=90.00
Sites, in units of the cell vectors:
Ta 0.000 0.000 0.000
Fe 0.000 0.500 0.500
Fe 0.500 0.000 0.500
H 0.000 0.000 0.500
Pd 0.500 0.500 0.000

***

[9]
The following is a GGA-PBE calculation of TaFe2HPd after structural relaxation, from Alexandria.

Calculated values
The calculation puts the energy above the lowest structure with this stoichiometry at 0.0 meV/atom. The value obtained for the electronic total energy is -7.55 eV/atom.

Unit cell a=3.852 b=3.852 c=3.776 alpha=90.00 beta=90.00 gamma=90.00
Sites, in units of the cell vectors:
Ta 0.000 0.000 0.000
Fe 0.000 0.500 0.500
Fe 0.500 0.000 0.500
H 0.500 0.500 0.500
Pd 0.500 0.500 0.000

***

[10]
The following is a GGA-PBE calculation of Fe2TcHPd after structural relaxation, from Alexandria.

Calculated values
The value obtained for the electronic total energy is -6.94 eV/atom.

Unit cell a=3.759 b=3.759 c=3.726 alpha=90.00 beta=90.00 gamma=90.00
Sites, in units of the cell vectors:
Fe 0.000 0.500 0.000
Fe 0.500 0.000 0.000
Tc 0.000 0.000 0.500
H 0.000 0.000 0.000
Pd 0.500 0.500 0.500

***

[11]
The following is a GGA-PBE calculation of FeTc2HPd after structural relaxation, from Alexandria.

Calculated values
The value obtained for the electronic total energy is -7.43 eV/atom.

Unit cell a=3.852 b=3.852 c=3.934 alpha=90.00 beta=90.00 gamma=90.00
Sites, in units of the cell vectors:
Fe 0.000 0.000 0.000
Tc 0.000 0.500 0.500
Tc 0.500 0.000 0.500
H 0.000 0.000 0.500
Pd 0.500 0.500 0.000

***

[12]
The following is a GGA-PBE calculation of FeTcHPd2 after structural relaxation, from Alexandria.

Calculated values
The value obtained for the electronic total energy is -6.20 eV/atom.

Unit cell a=3.822 b=3.822 c=4.014 alpha=90.00 beta=90.00 gamma=90.00
Sites, in units of the cell vectors:
Fe 0.000 0.000 0.000
Tc 0.500 0.500 0.000
H 0.500 0.500 0.500
Pd 0.000 0.500 0.500
Pd 0.500 0.000 0.500

***

[13]
The following is a GGA-PBE calculation of ThFe2H8Pd after structural relaxation, from Alexandria.

Calculated values
The value obtained for the electronic total energy is -4.58 eV/atom.

Unit cell a=4.507 b=4.507 c=6.743 alpha=90.00 beta=90.00 gamma=120.00
Sites, in units of the cell vectors:
Th 0.000 0.000 0.000
Fe 0.333 0.667 0.299
Fe 0.667 0.333 0.701
H 0.139 0.278 0.292
H 0.139 0.861 0.292
H 0.278 0.139 0.708
H 0.333 0.667 0.064
H 0.667 0.333 0.936
H 0.722 0.861 0.292
H 0.861 0.139 0.708
H 0.861 0.722 0.708
Pd 0.000 0.000 0.500